# PuMnTcGe

A geometry-optimized PuMnTcGe structure (GGA-PBE, Alexandria).

Computed properties:
Energy of formation from the pure elements in meV/atom: -126

The structure in CIF format:
```
data_PuMnTcGe
_symmetry_space_group_name_H-M 'F -4 3 m'
_symmetry_Int_Tables_number 216
_symmetry_space_group_name_Hall 'F -4 2 3'
_cell_length_a 6.3502
_cell_length_b 6.3502
_cell_length_c 6.3502
_cell_angle_alpha 90.00
_cell_angle_beta 90.00
_cell_angle_gamma 90.00
loop_
_atom_site_label
_atom_site_type_symbol
_atom_site_fract_x
_atom_site_fract_y
_atom_site_fract_z
Pu1 Pu 0.0000 0.0000 0.0000
Mn1 Mn 0.2500 0.2500 0.7500
Tc1 Tc 0.2500 0.2500 0.2500
Ge1 Ge 0.0000 0.0000 0.5000
```